Run one
Density functional theory data (PBE) for an optimized crystal structure of LaTc.

The structure belongs to space group P4/nmm (No. 129, origin choice 2); the cell edges are 3.201, 3.201 and 9.264 Å and the angles 90.00°, 90.00° and 90.00°. Symmetry generates all atoms from La at (0.250, 0.250, 0.190) and Tc at (0.250, 0.250, 0.569).

Run two
Density functional theory data (PBE) for an optimized crystal structure of LaTc.

The structure belongs to space group P6_3/mmc (No. 194); the cell edges are 5.0029, 5.0029 and 4.8726 Å and the angles 90.00°, 90.00° and 120.00°. Symmetry generates all atoms from La at (0.3333, 0.6667, 0.2500) and Tc at (0.0000, 0.0000, 0.0000).

Quick look at relative energies in meV/atom: run one 0; run two 36.

Run one
Density functional theory data (PBE) for an optimized crystal structure of LaTc.

The structure belongs to space group R-3m (No. 166, hexagonal axes); the cell edges are 3.4822, 3.4822 and 13.1007 Å and the angles 90.00°, 90.00° and 120.00°. Symmetry generates all atoms from La at (0.0000, 0.0000, 0.0000) and Tc at (0.0000, 0.0000, 0.5000).

Run two
Density functional theory data (PBE) for an optimized crystal structure of LaTc.

The structure belongs to space group Cm (No. 8); the cell edges are 12.253, 3.365 and 6.914 Å and the angles 90.00°, 106.75° and 90.00°. Symmetry generates all atoms from La at (0.000, 0.000, 0.000), La at (0.010, 0.000, 0.458), La at (0.189, 0.500, 0.824), Tc at (0.228, 0.500, 0.350), Tc at (0.322, 0.000, 0.166) and Tc at (0.328, 0.000, 0.615).

Quick look at relative energies in meV/atom: run one 372; run two 0.

Run one
Density functional theory data (PBE) for an optimized crystal structure of LaTc5.

The structure belongs to space group P6/mmm (No. 191); the cell edges are 5.3024, 5.3024 and 4.4616 Å and the angles 90.00°, 90.00° and 120.00°. Symmetry generates all atoms from La at (0.0000, 0.0000, 0.0000), Tc at (0.0000, 0.5000, 0.5000) and Tc at (0.3333, 0.6667, 0.0000).

Run two
Density functional theory data (PBE) for an optimized crystal structure of LaTc5.

The structure belongs to space group P4/mmm (No. 123); the cell edges are 3.070, 3.070 and 10.985 Å and the angles 90.00°, 90.00° and 90.00°. Symmetry generates all atoms from La at (0.000, 0.000, 0.000), Tc at (0.000, 0.000, 0.346), Tc at (0.500, 0.500, 0.221) and Tc at (0.500, 0.500, 0.500).

Run three
Density functional theory data (PBE) for an optimized crystal structure of LaTc5.

The structure belongs to space group Amm2 (No. 38); the cell edges are 4.231, 2.852 and 17.564 Å and the angles 90.00°, 90.00° and 90.00°. Symmetry generates all atoms from La at (0.000, 0.000, 0.000), Tc at (0.000, 0.000, 0.324), Tc at (0.000, 0.000, 0.689), Tc at (0.500, 0.000, 0.238), Tc at (0.500, 0.000, 0.605) and Tc at (0.500, 0.000, 0.872).

Quick look at relative energies in meV/atom: run one 0; run two 40; run three 112.

Run one
Density functional theory data (PBE) for an optimized crystal structure of LaTc5.

The structure belongs to space group R32 (No. 155, hexagonal axes); the cell edges are 5.0358, 5.0358 and 13.4628 Å and the angles 90.00°, 90.00° and 120.00°. Symmetry generates all atoms from La at (0.0000, 0.0000, 0.0000), Tc at (0.0000, 0.0000, 0.3281) and Tc at (0.0000, 0.3086, 0.5000).

Run two
Density functional theory data (PBE) for an optimized crystal structure of LaTc5.

The structure belongs to space group Cm (No. 8); the cell edges are 10.536, 2.922 and 6.789 Å and the angles 90.00°, 105.35° and 90.00°. Symmetry generates all atoms from La at (0.000, 0.000, 0.000), Tc at (0.025, 0.000, 0.566), Tc at (0.156, 0.500, 0.353), Tc at (0.221, 0.500, 0.913), Tc at (0.298, 0.000, 0.639) and Tc at (0.348, 0.000, 0.281).

Run three
Density functional theory data (PBE) for an optimized crystal structure of LaTc5.

The structure belongs to space group Cmmm (No. 65); the cell edges are 4.188, 12.115 and 4.148 Å and the angles 90.00°, 90.00° and 90.00°. Symmetry generates all atoms from La at (0.000, 0.000, 0.000), Tc at (0.000, 0.189, 0.500), Tc at (0.000, 0.308, 0.000) and Tc at (0.000, 0.500, 0.500).

Run four
Density functional theory data (PBE) for an optimized crystal structure of LaTc5.

The structure belongs to space group F-43m (No. 216); the cell edges are 7.499, 7.499 and 7.499 Å and the angles 90.00°, 90.00° and 90.00°. Symmetry generates all atoms from La at (0.000, 0.000, 0.000), Tc at (0.125, 0.125, 0.375) and Tc at (0.250, 0.250, 0.750).

Quick look at relative energies in meV/atom: run one 139; run two 0; run three 16; run four 102.

Run one
Density functional theory data (PBE) for an optimized crystal structure of La5Tc4.

The structure belongs to space group I4/mmm (No. 139); the cell edges are 9.037, 9.037 and 5.258 Å and the angles 90.00°, 90.00° and 90.00°. Symmetry generates all atoms from La at (0.000, 0.000, 0.000), La at (0.186, 0.186, 0.500) and Tc at (0.000, 0.365, 0.000).

Run two
Density functional theory data (PBE) for an optimized crystal structure of La5Tc4.

The structure belongs to space group P6_3/mcm (No. 193); the cell edges are 8.7422, 8.7422 and 6.4827 Å and the angles 90.00°, 90.00° and 120.00°. Symmetry generates all atoms from La at (0.0000, 0.2746, 0.2500), La at (0.3333, 0.6667, 0.0000), Tc at (0.0000, 0.0000, 0.0000) and Tc at (0.0000, 0.3807, 0.7500).

Quick look at relative energies in meV/atom: run one 16; run two 0.

Run one
Density functional theory data (PBE) for an optimized crystal structure of La2TcTe.

The structure belongs to space group P2/m (No. 10); the cell edges are 3.851, 3.860 and 7.265 Å and the angles 90.00°, 90.41° and 90.00°. Symmetry generates all atoms from La at (0.005, 0.000, 0.273), Tc at (0.500, 0.500, 0.500) and Te at (0.500, 0.500, 0.000).

Run two
Density functional theory data (PBE) for an optimized crystal structure of La2TcTe.

The structure belongs to space group Fm-3m (No. 225); the cell edges are 7.587, 7.587 and 7.587 Å and the angles 90.00°, 90.00° and 90.00°. Symmetry generates all atoms from La at (0.250, 0.250, 0.250), Tc at (0.000, 0.000, 0.000) and Te at (0.000, 0.000, 0.500).

Quick look at relative energies in meV/atom: run one 0; run two 193.

Run one
Density functional theory data (PBE) for an optimized crystal structure of LaTc3Te.

The structure belongs to space group Pm-3m (No. 221); the cell edges are 4.897, 4.897 and 4.897 Å and the angles 90.00°, 90.00° and 90.00°. Symmetry generates all atoms from La at (0.000, 0.000, 0.000), Tc at (0.000, 0.500, 0.500) and Te at (0.500, 0.500, 0.500).

Run two
Density functional theory data (PBE) for an optimized crystal structure of LaTc3Te.

The structure belongs to space group Pm-3m (No. 221); the cell edges are 4.848, 4.848 and 4.848 Å and the angles 90.00°, 90.00° and 90.00°. Symmetry generates all atoms from La at (0.000, 0.000, 0.000), Tc at (0.000, 0.000, 0.500) and Te at (0.500, 0.500, 0.500).

Quick look at relative energies in meV/atom: run one 0; run two 1064.

Run one
Density functional theory data (PBE) for an optimized crystal structure of LaTi3Tc.

The structure belongs to space group Pm-3m (No. 221); the cell edges are 4.712, 4.712 and 4.712 Å and the angles 90.00°, 90.00° and 90.00°. Symmetry generates all atoms from La at (0.000, 0.000, 0.000), Ti at (0.000, 0.000, 0.500) and Tc at (0.500, 0.500, 0.500).

Run two
Density functional theory data (PBE) for an optimized crystal structure of LaTi3Tc.

The structure belongs to space group Pm-3m (No. 221); the cell edges are 4.827, 4.827 and 4.827 Å and the angles 90.00°, 90.00° and 90.00°. Symmetry generates all atoms from La at (0.000, 0.000, 0.000), Ti at (0.000, 0.500, 0.500) and Tc at (0.500, 0.500, 0.500).

Quick look at relative energies in meV/atom: run one 1403; run two 0.

Run one
Density functional theory data (PBE) for an optimized crystal structure of La3TlTc.

The structure belongs to space group P-1 (No. 2); the cell edges are 5.871, 6.913 and 8.893 Å and the angles 107.38°, 94.92° and 114.56°. Symmetry generates all atoms from La at (0.113, 0.223, 0.243), La at (0.231, 0.334, 0.684), La at (0.320, 0.782, 0.093), Tl at (0.348, 0.772, 0.530) and Tc at (0.269, 0.292, 0.968).

Run two
Density functional theory data (PBE) for an optimized crystal structure of La3TlTc.

The structure belongs to space group Pm-3m (No. 221); the cell edges are 5.463, 5.463 and 5.463 Å and the angles 90.00°, 90.00° and 90.00°. Symmetry generates all atoms from La at (0.000, 0.000, 0.500), Tl at (0.500, 0.500, 0.500) and Tc at (0.000, 0.000, 0.000).

Quick look at relative energies in meV/atom: run one 0; run two 29.

Run one
Density functional theory data (PBE) for an optimized crystal structure of LaTm2Tc.

The structure belongs to space group R-3m (No. 166, hexagonal axes); the cell edges are 3.4132, 3.4132 and 32.6748 Å and the angles 90.00°, 90.00° and 120.00°. Symmetry generates all atoms from La at (0.0000, 0.0000, 0.0000), Tm at (0.0000, 0.0000, 0.1059) and Tc at (0.0000, 0.0000, 0.5000).

Run two
Density functional theory data (PBE) for an optimized crystal structure of LaTm2Tc.

The structure belongs to space group P4/mmm (No. 123); the cell edges are 3.428, 3.428 and 9.230 Å and the angles 90.00°, 90.00° and 90.00°. Symmetry generates all atoms from La at (0.000, 0.000, 0.000), Tm at (0.500, 0.500, 0.324) and Tc at (0.000, 0.000, 0.500).

Run three
Density functional theory data (PBE) for an optimized crystal structure of LaTm2Tc.

The structure belongs to space group Pnma (No. 62); the cell edges are 7.391, 9.199 and 6.416 Å and the angles 90.00°, 90.00° and 90.00°. Symmetry generates all atoms from La at (0.052, 0.250, 0.126), Tm at (0.174, 0.066, 0.661) and Tc at (0.125, 0.750, 0.473).

Quick look at relative energies in meV/atom: run one 312; run two 92; run three 0.

Run one
Density functional theory data (PBE) for an optimized crystal structure of LaUTc2.

The structure belongs to space group Pnma (No. 62); the cell edges are 8.570, 3.913 and 10.948 Å and the angles 90.00°, 90.00° and 90.00°. Symmetry generates all atoms from La at (0.114, 0.250, 0.128), U at (0.047, 0.250, 0.620), Tc at (0.168, 0.250, 0.802) and Tc at (0.182, 0.250, 0.437).

Run two
Density functional theory data (PBE) for an optimized crystal structure of LaUTc2.

The structure belongs to space group P4/mmm (No. 123); the cell edges are 3.358, 3.358 and 7.469 Å and the angles 90.00°, 90.00° and 90.00°. Symmetry generates all atoms from La at (0.000, 0.000, 0.000), U at (0.000, 0.000, 0.500) and Tc at (0.500, 0.500, 0.309).

Quick look at relative energies in meV/atom: run one 0; run two 33.